Compound: Y5Mn12Co2
Source: Alexandria
Functional: PBE
Structure: optimized geometry

Its total magnetization is 2.639 μB per cell. The calculation puts the density of states at the Fermi level at 1.333 states/eV per atom. For the energy, the calculation gives -7.71 eV per atom.

It has space group R-3m (No. 166, hexagonal axes), with a = 10.2382 Å, b = 10.2382 Å, c = 10.7912 Å, α = 90.00°, β = 90.00° and γ = 120.00°. The distinct sites, in fractional coordinates, are Y at (0.0000, 0.0000, 0.1546), Y at (0.0000, 0.5000, 0.5000), Mn at (0.0000, 0.3934, 0.0000), Mn at (0.0564, 0.5282, 0.2121) and Co at (0.0000, 0.0000, 0.3898).